A plane-wave DFT calculation with PBE was carried out for an optimized crystal structure of Zn3WSe.

Unit cell a=4.7722 b=4.7722 c=4.7722 alpha=90.00 beta=90.00 gamma=90.00
With the nearest neighbours (Å) after each atom.
Element x y z (fractional)
Zn 0.0000 0.0000 0.5000  2 Se 2.39
Zn 0.0000 0.5000 0.0000  2 Se 2.39
Zn 0.5000 0.0000 0.0000  2 Se 2.39
W 0.5000 0.5000 0.5000  12 Zn 3.37
Se 0.0000 0.0000 0.0000  6 Zn 2.39

## Properties
For the energy, the calculation gives -2.650 eV/atom. The formation energy (no corrections) comes out at 1.402 eV/atom. As for the energy above the most stable polymorph in this dataset: 142 meV/atom.